Entry 1:
Compound: ZrSc2Se
Source: the Alexandria database
Functional: GGA-PBEsol
Structure: optimized geometry

Computed properties:
Fermi-level density of states   1.20 states/eV/atom
Crystal system   trigonal
Raw total energy   -7.26 eV per atom
E_form (uncorrected)   -0.72 eV per atom

Cell lengths 3.4149, 3.4149, 25.7461 Å; angles 90.00, 90.00, 120.00 degrees
Space group R-3m (No. 166, hexagonal axes)
Symmetry-distinct sites (fractional):
Zr 0.0000 0.0000 0.0000 (multiplicity 3)
Sc 0.0000 0.0000 0.2369 (multiplicity 6)
Se 0.0000 0.0000 0.5000 (multiplicity 3)

=====

Entry 2:
Compound: KZrBe2
Source: the Alexandria database
Functional: GGA-PBEsol
Structure: optimized geometry

Computed properties:
Fermi-level density of states   0.54 states/eV/atom
Crystal system   cubic
Raw total energy   -3.50 eV per atom
E_form   1060 meV per atom
Offset from the most stable computed form   0.5792 eV per atom

Cell lengths 6.7223, 6.7223, 6.7223 Å; angles 90.00, 90.00, 90.00 degrees
Space group Fm-3m (No. 225)
Symmetry-distinct sites (fractional):
K 0.0000 0.0000 0.0000 (multiplicity 4)
Zr 0.0000 0.0000 0.5000 (multiplicity 4)
Be 0.2500 0.2500 0.2500 (multiplicity 8)

=====

Entry 3:
Compound: In2Pt2Au
Source: the Alexandria database
Functional: GGA-PBEsol
Structure: optimized geometry

Computed properties:
Fermi-level density of states   0.39 states/eV/atom
Crystal system   tetragonal
Raw total energy   -5.11 eV per atom
E_form   -350 meV per atom
Offset from the most stable computed form   0.0000 eV per atom

Cell lengths 7.3145, 7.3145, 3.3802 Å; angles 90.00, 90.00, 90.00 degrees
Space group P4/mbm (No. 127)
Symmetry-distinct sites (fractional):
In 0.1611 0.3389 0.0000 (multiplicity 4)
Pt 0.1392 0.6392 0.5000 (multiplicity 4)
Au 0.0000 0.0000 0.5000 (multiplicity 2)